The following is a PBEsol calculation of a geometry-optimized Cs2Sr2Hf structure, from Alexandria via LeMat-Bulk.

a b c (Å): 11.2673 11.2673 11.2673
angles (deg): 156.30 156.30 33.77
With the nearest neighbours (Å) after each atom.
Element x y z (fractional)
1 Cs 0.2500 0.7500 0.5000  4 Cs 3.27
2 Cs 0.7500 0.2500 0.5000  4 Cs 3.27
3 Sr 0.0817 0.0817 0.0000  1 Sr 3.52, 4 Hf 3.72
4 Sr 0.9183 0.9183 0.0000  1 Sr 3.52, 4 Hf 3.72
5 Hf 0.5000 0.5000 0.0000  8 Sr 3.72

Values from the calculation:
ΔH_f (0 K) (eV/atom): 0.970
Crystal system: tetragonal
Calculated total energy (eV per formula unit): -11.22